No. 1
Computed, not measured: Pr2Tm6Th after structural relaxation at the GGA-PBE level of DFT.

Unit cell a=6.537 b=9.525 c=9.525 alpha=96.17 beta=82.35 gamma=82.35
Fractional coordinates of all 18 atoms:
Pr  0.624  0.669  0.614
Tm  0.684  0.225  0.043
Th  0.250  0.111  0.889
Tm  0.497  0.339  0.725
Tm  0.265  0.945  0.543
Tm  0.765  0.543  0.945
Th  0.750  0.889  0.111
Tm  0.184  0.043  0.225
Tm  0.316  0.775  0.957
Pr  0.124  0.614  0.669
Tm  0.816  0.957  0.775
Tm  0.997  0.725  0.339
Tm  0.235  0.457  0.055
Pr  0.876  0.386  0.331
Tm  0.503  0.661  0.275
Pr  0.376  0.331  0.386
Tm  0.735  0.055  0.457
Tm  0.003  0.275  0.661

Properties
Distance to the lowest polymorph of the same formula in meV per atom: 54
Density in g/cm³: 8.8
DFT formation energy in eV per atom: 0.127
Total DFT energy (no corrections) in eV/atom: -4.74
Space-group type: C2/c, No. 15

No. 2
Computed, not measured: PrTlCd3 after structural relaxation at the GGA-PBE level of DFT.

Unit cell a=5.372 b=5.718 c=10.619 alpha=74.38 beta=90.00 gamma=90.00
Fractional coordinates of all 10 atoms:
Tl  0.750  0.438  0.124
Cd  0.000  0.000  0.000
Pr  0.250  0.854  0.292
Pr  0.750  0.146  0.708
Cd  0.500  0.000  0.000
Tl  0.250  0.562  0.876
Cd  0.750  0.541  0.418
Cd  0.250  0.459  0.582
Cd  0.750  0.041  0.418
Cd  0.250  0.959  0.582

Properties
Density in g/cm³: 7.2
DFT formation energy in eV per atom: 0.068
Total DFT energy (no corrections) in eV/atom: -1.91
Space-group type: Cmcm, No. 63

No. 3
Computed, not measured: LiHgS4 after structural relaxation at the GGA-PBE level of DFT.

Unit cell a=5.099 b=5.099 c=12.294 alpha=101.97 beta=101.97 gamma=90.00
Fractional coordinates of all 12 atoms:
S  0.160  0.221  0.442
Li  0.625  0.875  0.750
S  0.840  0.779  0.558
S  0.721  0.660  0.942
Li  0.375  0.125  0.250
S  0.218  0.779  0.558
S  0.721  0.282  0.942
Hg  0.125  0.375  0.750
S  0.279  0.718  0.058
S  0.782  0.221  0.442
S  0.279  0.340  0.058
Hg  0.875  0.625  0.250

Properties
Density in g/cm³: 3.6
Total DFT energy (no corrections) in eV/atom: -3.20
Formation energy from raw total energies in eV/atom: -0.08
Space-group type: I4_1/amd, No. 141

No. 4
Computed, not measured: BaTlAs2Pd5 after structural relaxation at the GGA-PBE level of DFT.

Unit cell a=4.491 b=4.491 c=10.187 alpha=90.00 beta=90.00 gamma=90.00
Fractional coordinates of all 9 atoms:
Pd  0.500  0.000  0.834
Pd  0.500  0.000  0.166
Pd  0.000  0.500  0.834
As  0.500  0.500  0.735
Ba  0.000  0.000  0.500
As  0.500  0.500  0.265
Pd  0.000  0.500  0.166
Tl  0.000  0.000  0.000
Pd  0.500  0.500  0.500

Properties
Density in g/cm³: 8.3
DFT formation energy in eV per atom: -0.402
Total DFT energy (no corrections) in eV/atom: -4.80
Space-group type: P4/mmm, No. 123